Run P
Compound: La4Dy3Tm4
Source: the Alexandria database
Functional: GGA-PBE
Structure: optimized geometry

abc: 3.602 5.643 18.374
angles: 81.17 84.42 90.00
Positions (direct):
La: 0.554 0.552 0.896
La: 0.446 0.448 0.104
La: 0.322 0.823 0.354
La: 0.678 0.177 0.646
Dy: 0.147 0.647 0.707
Dy: 0.853 0.353 0.293
Dy: 0.000 0.000 0.000
Tm: 0.095 0.093 0.814
Tm: 0.265 0.265 0.470
Tm: 0.735 0.735 0.530
Tm: 0.905 0.907 0.186

Results
**DOS(E_F)**: 17.606 states/eV per cell
**Space group**: C2/m (12)
**Crystal system**: monoclinic
**Magnetization**: 0.00 Bohr magnetons per cell

***

Run Q
Compound: La4Dy3Tm4
Source: the Alexandria database
Functional: GGA-PBE
Structure: optimized geometry

abc: 3.511 5.700 18.266
angles: 81.02 84.49 90.00
Positions (direct):
La: 0.592 0.092 0.816
La: 0.269 0.269 0.462
La: 0.731 0.731 0.539
La: 0.408 0.908 0.184
Dy: 0.137 0.637 0.727
Dy: 0.863 0.363 0.273
Dy: 0.000 0.000 0.000
Tm: 0.545 0.545 0.910
Tm: 0.455 0.455 0.090
Tm: 0.318 0.818 0.363
Tm: 0.682 0.182 0.637

Results
**DOS(E_F)**: 17.525 states/eV per cell
**Space group**: P-1 (2)
**Crystal system**: triclinic
**Magnetization**: 0.00 Bohr magnetons per cell

***

Referenced to the most stable arrangement, the calculated values in meV per atom are run P 0; run Q 24.

***

Run P
Compound: LaDyTm6
Source: the Alexandria database
Functional: GGA-PBE
Structure: optimized geometry

abc: 4.984 7.059 7.059
angles: 89.99 90.00 90.00
Positions (direct):
La: 0.500 0.500 0.500
Dy: 0.500 0.000 0.000
Tm: 0.500 0.000 0.500
Tm: 0.500 0.500 0.000
Tm: 0.000 0.247 0.247
Tm: 0.000 0.753 0.753
Tm: 0.000 0.753 0.247
Tm: 0.000 0.247 0.753

Results
**DOS(E_F)**: 11.408 states/eV per cell
**Space group**: P4/mmm (123)
**Crystal system**: tetragonal
**Magnetization**: 0.00 Bohr magnetons per cell

***

Run Q
Compound: LaDyTm6
Source: the Alexandria database
Functional: GGA-PBE
Structure: optimized geometry

abc: 8.660 8.660 6.588
angles: 48.91 48.91 60.00
Positions (direct):
La: 0.000 0.000 0.000
Dy: 0.500 0.500 0.500
Tm: 0.844 0.844 0.831
Tm: 0.481 0.844 0.831
Tm: 0.156 0.519 0.169
Tm: 0.519 0.156 0.169
Tm: 0.156 0.156 0.169
Tm: 0.844 0.481 0.831

Results
**DOS(E_F)**: 11.483 states/eV per cell
**Space group**: R-3m (166)
**Crystal system**: trigonal
**Magnetization**: 0.00 Bohr magnetons per cell

***

Referenced to the most stable arrangement, the calculated values in meV per atom are run P 0; run Q 559.

***

Run P
Compound: LaDy3Tm2
Source: the Alexandria database
Functional: GGA-PBE
Structure: optimized geometry

abc: 3.443 5.889 10.344
angles: 106.54 99.58 90.00
Positions (direct):
La: 0.000 0.000 0.000
Dy: 0.000 0.500 0.000
Dy: 0.806 0.806 0.612
Dy: 0.194 0.194 0.388
Tm: 0.639 0.639 0.278
Tm: 0.361 0.361 0.722

Results
**DOS(E_F)**: 11.621 states/eV per cell
**Space group**: Immm (71)
**Crystal system**: orthorhombic
**Magnetization**: 0.01 Bohr magnetons per cell

***

Run Q
Compound: LaDy3Tm2
Source: the Alexandria database
Functional: GGA-PBE
Structure: optimized geometry

abc: 3.579 9.457 11.552
angles: 90.00 90.00 100.91
Positions (direct):
La: 0.221 0.442 0.250
La: 0.779 0.558 0.750
Dy: 0.664 0.329 0.997
Dy: 0.107 0.214 0.750
Dy: 0.664 0.329 0.503
Dy: 0.893 0.786 0.250
Dy: 0.336 0.671 0.003
Dy: 0.336 0.671 0.497
Tm: 0.000 0.000 0.000
Tm: 0.000 0.000 0.500
Tm: 0.554 0.108 0.250
Tm: 0.446 0.892 0.750

Results
**DOS(E_F)**: 16.783 states/eV per cell
**Space group**: Cmcm (63)
**Crystal system**: orthorhombic
**Magnetization**: 0.00 Bohr magnetons per cell

***

Referenced to the most stable arrangement, the calculated values in meV per atom are run P 326; run Q 0.

***

Run P
Compound: La3DyTm4
Source: the Alexandria database
Functional: GGA-PBE
Structure: optimized geometry

abc: 6.296 7.307 11.506
angles: 90.00 90.00 90.00
Positions (direct):
La: 0.648 0.630 0.000
La: 0.982 0.625 0.251
La: 0.482 0.375 0.249
La: 0.148 0.370 0.500
La: 0.482 0.375 0.751
La: 0.982 0.625 0.749
Dy: 0.144 0.366 0.000
Dy: 0.644 0.634 0.500
Tm: 0.147 0.880 0.000
Tm: 0.650 0.120 0.000
Tm: 0.982 0.119 0.248
Tm: 0.482 0.881 0.252
Tm: 0.150 0.880 0.500
Tm: 0.647 0.120 0.500
Tm: 0.482 0.881 0.748
Tm: 0.982 0.119 0.752

Results
**DOS(E_F)**: 29.032 states/eV per cell
**Space group**: Pmn2_1 (31)
**Crystal system**: orthorhombic
**Magnetization**: 0.00 Bohr magnetons per cell

***

Run Q
Compound: La3DyTm4
Source: the Alexandria database
Functional: GGA-PBE
Structure: optimized geometry

abc: 3.486 8.956 8.956
angles: 81.97 78.80 78.80
Positions (direct):
Dy: 0.500 0.000 0.000
Tm: 0.635 0.110 0.621
Tm: 0.365 0.890 0.379
Tm: 0.365 0.379 0.890
Tm: 0.635 0.621 0.110
La: 0.756 0.245 0.245
La: 0.244 0.755 0.755
La: 0.000 0.500 0.500

Results
**DOS(E_F)**: 13.294 states/eV per cell
**Space group**: Immm (71)
**Crystal system**: orthorhombic
**Magnetization**: 0.00 Bohr magnetons per cell

***

Referenced to the most stable arrangement, the calculated values in meV per atom are run P 0; run Q 114.